Record 1
Density functional theory data (PBE) for an optimized crystal structure of YPtAu2I.

Values from the calculation:
As for the space-group type: P4/mmm (123). For the total DFT energy (no corrections), the calculation gives -0.2479 Ry/atom. The calculation puts the energy relative to the elements, uncorrected at 750 meV per atom. The calculation puts the density of states at the Fermi level at 8.0 states/eV/cell.

POSCAR file:
```
YPtAu2I
1.0
-4.4366 0.9755 2.9647
2.7524 -1.8650 4.7324
1.7542 5.0411 0.9664
Au I Y Pt
2 1 1 1
Cartesian
0.8771 2.5206 0.4832
-2.2183 0.4877 1.4824
1.3762 -0.9325 2.3662
0.0000 0.0000 0.0000
0.0350 2.0758 4.3318
```

***

Record 2
Density functional theory data (PBE) for an optimized crystal structure of ZnPt2AuI.

Values from the calculation:
As for the space-group type: P4/mmm (123). For the total DFT energy (no corrections), the calculation gives -0.2059 Ry/atom. The calculation puts the energy relative to the elements, uncorrected at 835 meV per atom. The calculation puts the density of states at the Fermi level at 5.4 states/eV/cell.

POSCAR file:
```
ZnPt2AuI
1.0
-2.6456 2.6640 3.4615
1.6842 -2.7973 3.4400
3.9738 3.1481 0.6143
Pt Zn Au I
2 1 1 1
Cartesian
1.9869 1.5740 0.3071
-1.3228 1.3320 1.7308
0.8421 -1.3986 1.7200
0.0000 0.0000 0.0000
1.5062 1.5074 3.7579
```

***

Record 3
Density functional theory data (PBE) for an optimized crystal structure of PuAu3I9.

Values from the calculation:
As for the space-group type: Cc (9). For the total DFT energy (no corrections), the calculation gives -0.2369 Ry/atom. The calculation puts the energy relative to the elements, uncorrected at -292 meV per atom. The calculation puts the density of states at the Fermi level at 25.5 states/eV/cell.

POSCAR file:
```
PuAu3I9
1.0
11.0165 0.0000 4.6358
4.1837 10.4659 5.4657
1.4755 2.5667 11.9013
Au I Pu
6 18 2
Cartesian
6.9664 8.7205 7.8384
15.7458 11.9868 19.5641
10.2041 4.7709 12.9885
11.2281 0.8775 6.8949
12.0829 7.3938 14.7474
5.2234 5.4705 7.6434
9.8207 8.9690 15.2387
3.9733 6.2105 5.1722
7.1612 6.6070 9.2932
3.1865 2.2609 8.6288
11.0401 6.5958 8.7223
1.4420 2.4526 4.2201
11.4373 6.8745 12.1581
9.4144 10.2843 11.1936
6.7241 2.6462 10.6938
6.7279 3.5090 6.4157
3.6240 6.5506 9.6365
4.5552 10.0253 12.9943
3.9899 2.9249 12.8118
13.9634 10.5001 10.1997
12.4900 6.9344 17.4026
9.0277 2.6574 13.8663
13.2287 10.8839 13.9259
6.0937 6.3347 13.5839
10.1614 11.6430 13.6694
2.3257 5.1267 2.8793
```